# 1
Computed, not measured: a relaxed structure of BaHgTe2 at the PBE level of DFT.

It has space group F-43m (No. 216), with a = 8.125 Å, b = 8.125 Å, c = 8.125 Å, α = 90.00°, β = 90.00° and γ = 90.00°. The inequivalent atoms are Ba at (0.000, 0.000, 0.000), Hg at (0.250, 0.250, 0.250), Te at (0.000, 0.000, 0.500) and Te at (0.250, 0.250, 0.750).

As for the total energy: -2.73 eV per atom.


# 2
Computed, not measured: a relaxed structure of BiAuSeO at the PBE level of DFT.

It has space group Pmc2_1 (No. 26), with a = 4.056 Å, b = 6.432 Å, c = 6.890 Å, α = 90.00°, β = 90.00° and γ = 90.00°. The inequivalent atoms are Bi at (0.000, 0.208, 0.000), Au at (0.500, 0.220, 0.560), Se at (0.500, 0.398, 0.238) and O at (0.000, 0.059, 0.682).

The energy relative to the lowest polymorph listed for this composition is 320 meV/atom.


# 3
Computed, not measured: a relaxed structure of YZnCuS3 at the PBE level of DFT.

It has space group Cmcm (No. 63), with a = 3.669 Å, b = 11.989 Å, c = 10.400 Å, α = 90.00°, β = 90.00° and γ = 90.00°. The inequivalent atoms are Y at (0.000, 0.000, 0.000), Zn at (0.000, 0.235, 0.250), Cu at (0.000, 0.483, 0.750), S at (0.000, 0.108, 0.750) and S at (0.000, 0.353, 0.588).

As for the total energy: -4.91 eV per atom.


# 4
Computed, not measured: a relaxed structure of Lu4GaNiN2 at the PBE level of DFT.

It has space group P-6m2 (No. 187), with a = 3.3727 Å, b = 3.3727 Å, c = 14.0376 Å, α = 90.00°, β = 90.00° and γ = 120.00°. The inequivalent atoms are Lu at (0.0000, 0.0000, 0.1378), Lu at (0.6667, 0.3333, 0.3307), Ga at (0.0000, 0.0000, 0.5000), Ni at (0.6667, 0.3333, 0.0000) and N at (0.3333, 0.6667, 0.2439).

As for the total energy: -6.44 eV per atom.


What did the first record say?
Computed, not measured: a relaxed structure of BaHgTe2 at the PBE level of DFT.

It has space group F-43m (No. 216), with a = 8.125 Å, b = 8.125 Å, c = 8.125 Å, α = 90.00°, β = 90.00° and γ = 90.00°. The inequivalent atoms are Ba at (0.000, 0.000, 0.000), Hg at (0.250, 0.250, 0.250), Te at (0.000, 0.000, 0.500) and Te at (0.250, 0.250, 0.750).

As for the total energy: -2.73 eV per atom.